1.
ZnCN | the Alexandria database | PBE | optimized geometry; energy relative to the elements, uncorrected = 0.45 eV/atom; SG = P1; uncorrected energy = -17.5 eV/cell
1.0
3.1227 0.0000 0.0000
-1.5264 3.0187 0.0000
-0.0069 -1.0956 3.9476
Zn C N
1 1 1
direct
0.0000 0.0000 0.0000
0.4831 0.9652 0.3466
0.5077 0.0154 0.6521



2.
AgAsOs2 | the Alexandria database | PBE | optimized geometry; SG = P4mm; uncorrected energy = -28.5 eV/cell; DFT formation energy = 0.36 eV/atom
1.0
2.8417 0.0000 0.0000
0.0000 2.8417 0.0000
0.0000 0.0000 8.2254
Ag As Os
1 1 2
direct
0.0000 0.0000 0.0000
0.5000 0.5000 0.3151
0.0000 0.0000 0.5375
0.5000 0.5000 0.7421



3.
TbTmMgAg | the Alexandria database | PBE | optimized geometry; SG = P4mm; uncorrected energy = -14.3 eV/cell; DFT formation energy = -0.19 eV/atom; energy above the lowest structure with this stoichiometry = 0.0 meV per atom
1.0
3.7108 0.0000 0.0000
0.0000 3.7108 0.0000
0.0000 0.0000 7.2868
Tb Tm Mg Ag
1 1 1 1
direct
0.0000 0.0000 0.0000
0.0000 0.0000 0.4808
0.5000 0.5000 0.7359
0.5000 0.5000 0.2503



4.
MgTiS | the Alexandria database | PBE | optimized geometry; energy relative to the elements, uncorrected = -0.72 eV/atom; SG = P-6m2; uncorrected energy = -31.6 eV/cell
1.0
3.3150 0.0000 0.0000
-1.6575 2.8709 0.0000
0.0000 0.0000 11.4320
Mg Ti S
2 2 2
direct
0.0000 0.0000 0.2076
0.0000 0.0000 0.7924
0.0000 0.0000 0.5000
0.3333 0.6667 0.0000
0.3333 0.6667 0.3643
0.3333 0.6667 0.6357



Question: Which of these has the lowest uncorrected energy?
Answer: MgTiS